Material: LuTlZn
Method: DFT, PBE
State: optimized geometry

extended XYZ file:
```
3
Lattice="-2.900 -3.121 -2.360 -4.726 1.026 -0.574 -1.727 1.138 -4.409" Properties=species:S:1:pos:R:3 pbc="T T T"
Tl -2.338 -0.239 -1.836
Lu 0.000 0.000 0.000
Zn -7.015 -0.717 -5.507
```

Output
Crystal system ... cubic
SG ... No. 216

Material: Lu2Hf4Zn3N3
Method: DFT, PBE
State: optimized geometry

extended XYZ file:
```
24
Lattice="-2.475 4.878 -1.290 -5.290 0.048 -1.897 -2.111 -0.571 14.337" Properties=species:S:1:pos:R:3 pbc="T T T"
Lu -6.342 1.779 10.985
Hf -3.914 0.192 12.380
N -6.277 1.388 5.164
Lu -3.533 2.576 0.165
Hf -7.533 4.575 3.200
Zn -2.993 0.413 2.649
Hf -2.399 1.265 5.311
Zn -5.641 0.207 1.726
Zn -4.234 4.147 9.425
N -6.049 0.288 12.855
Hf -5.962 4.163 -1.229
N -3.598 2.967 5.987
Hf -0.782 0.931 0.891
N -3.700 -0.261 6.220
N -3.827 4.066 -1.704
Zn -3.190 1.601 10.003
Zn -6.882 3.941 8.502
Lu -4.825 2.857 3.916
Hf -7.476 3.090 5.840
N -1.237 2.439 -0.645
Hf -2.342 -0.221 7.951
Hf -9.093 3.424 10.260
Lu -5.050 1.497 7.235
Zn -6.685 2.754 1.148
```

Output
Crystal system ... monoclinic
SG ... No. 15

Here are the calculated energy numbers, same order: -7.62, -180.07 (eV for the cell shown).